No. 1
Below is CeTh2N after structural relaxation, with properties calculated at the PBE-GGA level.

Structure (POSCAR):
```
CeTh2N
1.0
-3.2225 -0.0868 0.2176
0.0929 -3.2285 0.0878
0.5812 0.2537 8.7076
Ce Th N
1 2 1
direct
0.5000 0.5000 0.5000 Ce
0.0000 0.0000 0.8235 Th
0.0000 0.0000 0.1765 Th
0.5000 0.5000 0.0000 N
```

Output
Raw total energy   -29.43 eV per formula unit
Raw formation energy   -32 kJ/mol of formula units

No. 2
Below is Ce4ThN5 after structural relaxation, with properties calculated at the PBE-GGA level.

Structure (POSCAR):
```
Ce4ThN5
1.0
-0.4540 5.0560 0.2442
-0.9192 2.1942 5.7455
5.3834 2.9971 0.8405
Ce Th N
4 1 5
direct
0.4020 0.4002 0.7978 Ce
0.8023 0.7978 0.5998 Ce
0.1998 0.2022 0.4002 Ce
0.6001 0.5998 0.2022 Ce
0.0010 0.0000 0.0000 Th
0.9007 0.4018 0.7987 N
0.3026 0.7987 0.5982 N
0.6994 0.2013 0.4018 N
0.1012 0.5982 0.2013 N
0.5011 0.0000 0.0000 N
```

Output
Raw total energy   -88.02 eV per formula unit
Raw formation energy   -1471 kJ/mol of formula units

No. 3
Below is Ce3ThN after structural relaxation, with properties calculated at the PBE-GGA level.

Structure (POSCAR):
```
Ce3ThN
1.0
-0.7781 4.1332 -2.5925
0.5672 -2.5308 -4.2051
-4.8459 -0.9599 -0.0760
Ce Th N
3 1 1
direct
0.0000 0.5000 0.0000 Ce
0.0000 0.0000 0.5000 Ce
0.5000 0.0000 0.0000 Ce
0.5000 0.5000 0.5000 Th
0.0000 0.0000 0.0000 N
```

Output
Raw total energy   -36.25 eV per formula unit
Raw formation energy   -261 kJ/mol of formula units

No. 4
Below is CeThTiN3 after structural relaxation, with properties calculated at the PBE-GGA level.

Structure (POSCAR):
```
CeThTiN3
1.0
3.6145 0.0000 0.0000
0.0000 7.1888 0.8922
0.0000 -1.9029 8.0810
Ce Th Ti N
2 2 2 6
direct
0.7500 0.8470 0.8574 Ce
0.2500 0.1530 0.1426 Ce
0.2500 0.6382 0.1659 Th
0.7500 0.3618 0.8341 Th
0.2500 0.0772 0.6073 Ti
0.7500 0.9228 0.3927 Ti
0.2500 0.8421 0.4469 N
0.7500 0.8876 0.1468 N
0.7500 0.3877 0.1264 N
0.7500 0.1579 0.5531 N
0.2500 0.6123 0.8736 N
0.2500 0.1124 0.8532 N
```

Output
Raw total energy   -53.94 eV per formula unit
Raw formation energy   -744 kJ/mol of formula units

No. 5
Below is CeTh2TlN after structural relaxation, with properties calculated at the PBE-GGA level.

Structure (POSCAR):
```
CeTh2TlN
1.0
-4.9701 0.1617 -0.2441
-0.2839 -1.6036 4.7184
0.0746 4.7241 1.6101
Ce Th Tl N
1 2 1 1
direct
0.5000 0.0000 0.0000 Ce
0.0000 0.0000 0.5000 Th
0.0000 0.5000 0.0000 Th
0.5000 0.5000 0.5000 Tl
0.0000 0.0000 0.0000 N
```

Output
Raw total energy   -35.02 eV per formula unit
Raw formation energy   -343 kJ/mol of formula units

No. 6
Below is CeTm2ThN4 after structural relaxation, with properties calculated at the PBE-GGA level.

Structure (POSCAR):
```
CeTm2ThN4
1.0
3.5139 0.0000 0.0000
0.0000 6.0978 -0.1261
0.0000 2.1388 5.6935
Ce Tm Th N
1 2 1 4
direct
0.0000 0.5000 0.5000 Ce
0.0000 0.0000 0.0000 Tm
0.5000 0.0000 0.5000 Tm
0.5000 0.5000 0.0000 Th
0.0000 0.7610 0.7462 N
0.0000 0.2390 0.2538 N
0.5000 0.7599 0.2466 N
0.5000 0.2401 0.7534 N
```

Output
Raw total energy   -68.78 eV per formula unit
Raw formation energy   -1272 kJ/mol of formula units

No. 7
Below is CeTmTh2N4 after structural relaxation, with properties calculated at the PBE-GGA level.

Structure (POSCAR):
```
CeTmTh2N4
1.0
-0.5627 0.7909 -3.4410
-4.4755 -4.2921 -0.2546
-2.4632 5.4432 1.6539
Ce Tm Th N
1 1 2 4
direct
0.0000 0.0000 0.0000 Ce
0.5000 0.5000 0.0000 Tm
0.5000 0.0000 0.5000 Th
0.0000 0.5000 0.5000 Th
0.5000 0.2545 0.2417 N
0.5000 0.7455 0.7583 N
0.0000 0.2582 0.7597 N
0.0000 0.7418 0.2403 N
```

Output
Raw total energy   -71.24 eV per formula unit
Raw formation energy   -1225 kJ/mol of formula units

No. 8
Below is Ce3TmTh2N6 after structural relaxation, with properties calculated at the PBE-GGA level.

Structure (POSCAR):
```
Ce3TmTh2N6
1.0
-2.3064 -5.7001 -0.8182
2.7591 1.4927 5.3516
-5.2843 3.1671 0.6462
Ce Tm Th N
3 1 2 6
direct
0.1651 0.8349 0.5000 Ce
0.8349 0.1651 0.5000 Ce
0.5000 0.5000 0.5000 Ce
0.0000 0.0000 0.0000 Tm
0.3331 0.6669 0.0000 Th
0.6669 0.3331 0.0000 Th
0.9185 0.5938 0.7551 N
0.7577 0.7577 0.2472 N
0.0815 0.4062 0.2449 N
0.5938 0.9185 0.7551 N
0.2423 0.2423 0.7528 N
0.4062 0.0815 0.2449 N
```

Output
Raw total energy   -105.87 eV per formula unit
Raw formation energy   -1814 kJ/mol of formula units

No. 9
Below is CeTh2UN4 after structural relaxation, with properties calculated at the PBE-GGA level.

Structure (POSCAR):
```
CeTh2UN4
1.0
5.0812 0.0032 0.0000
-0.0019 5.0812 0.0000
-2.5396 -2.5422 5.0347
Ce Th U N
1 2 1 4
direct
0.5000 0.5000 0.0000 Ce
0.2500 0.7500 0.5000 Th
0.0000 0.0000 0.0000 Th
0.7500 0.2500 0.5000 U
0.9839 0.4839 0.9677 N
0.5161 0.0161 0.0323 N
0.7490 0.7490 0.4979 N
0.2510 0.2510 0.5021 N
```

Output
Raw total energy   -77.10 eV per formula unit
Raw formation energy   -1132 kJ/mol of formula units

No. 10
Below is Ce2ThUN6 after structural relaxation, with properties calculated at the PBE-GGA level.

Structure (POSCAR):
```
Ce2ThUN6
1.0
-4.9557 0.2761 -3.1529
-0.9092 -5.9011 0.9123
-4.4287 1.8129 7.3129
Ce Th U N
4 2 2 12
direct
0.0118 0.9592 0.2528 Ce
0.5118 0.5407 0.7528 Ce
0.9882 0.0408 0.7472 Ce
0.4882 0.4592 0.2472 Ce
0.5000 0.0000 0.0000 Th
0.0000 0.5000 0.5000 Th
0.5000 0.0000 0.5000 U
0.0000 0.5000 0.0000 U
0.2938 0.6745 0.0681 N
0.7938 0.8255 0.5681 N
0.7062 0.3255 0.9319 N
0.2062 0.1745 0.4319 N
0.3203 0.7061 0.4135 N
0.8203 0.7939 0.9135 N
0.6797 0.2939 0.5865 N
0.1797 0.2061 0.0865 N
0.8551 0.5786 0.2357 N
0.3551 0.9214 0.7357 N
0.1449 0.4214 0.7643 N
0.6449 0.0786 0.2643 N
```

Output
Raw total energy   -94.48 eV per formula unit
Raw formation energy   -1346 kJ/mol of formula units

No. 11
Below is Ce4Th3UN8 after structural relaxation, with properties calculated at the PBE-GGA level.

Structure (POSCAR):
```
Ce4Th3UN8
1.0
-1.9153 -6.1414 3.2079
6.5549 -0.5511 2.8586
-3.8894 5.9574 1.0285
Ce Th U N
4 3 1 8
direct
0.5000 0.0000 0.0000 Ce
0.5000 0.0000 0.5000 Ce
0.0000 0.0000 0.0000 Ce
0.0000 0.0000 0.5000 Ce
0.5000 0.5000 0.0000 Th
0.5000 0.5000 0.5000 Th
0.0000 0.5000 0.5000 Th
0.0000 0.5000 0.0000 U
0.2307 0.7324 0.0017 N
0.2308 0.7325 0.4616 N
0.2493 0.2479 0.4986 N
0.7710 0.7324 0.0017 N
0.2290 0.2676 0.9983 N
0.7507 0.7521 0.5014 N
0.7692 0.2675 0.5384 N
0.7693 0.2676 0.9983 N
```

Output
Raw total energy   -148.23 eV per formula unit
Raw formation energy   -2349 kJ/mol of formula units

No. 12
Below is Ce2Th3UN6 after structural relaxation, with properties calculated at the PBE-GGA level.

Structure (POSCAR):
```
Ce2Th3UN6
1.0
6.2207 0.0073 0.0005
-3.1025 5.3918 0.0005
-1.0395 -1.8000 5.8338
Ce Th U N
2 3 1 6
direct
0.3338 0.6662 0.0000 Ce
0.6662 0.3338 0.0000 Ce
0.1689 0.8311 0.5000 Th
0.8311 0.1689 0.5000 Th
0.5000 0.5000 0.5000 Th
0.0000 0.0000 0.0000 U
0.9243 0.6141 0.7717 N
0.7679 0.7679 0.2391 N
0.0757 0.3859 0.2283 N
0.6141 0.9243 0.7717 N
0.2321 0.2321 0.7609 N
0.3859 0.0757 0.2283 N
```

Output
Raw total energy   -113.59 eV per formula unit
Raw formation energy   -1758 kJ/mol of formula units

No. 13
Below is CeThVN4 after structural relaxation, with properties calculated at the PBE-GGA level.

Structure (POSCAR):
```
CeThVN4
1.0
5.4045 0.0000 0.0000
0.0000 5.4082 0.0000
-2.7023 0.0000 6.2229
Ce Th V N
2 2 2 8
direct
0.1060 0.2500 0.2121 Ce
0.8940 0.7500 0.7879 Ce
0.6090 0.7500 0.2179 Th
0.3910 0.2500 0.7821 Th
0.2525 0.7500 0.5051 V
0.7475 0.2500 0.4949 V
0.9256 0.2500 0.8513 N
0.4216 0.7500 0.8432 N
0.0744 0.7500 0.1487 N
0.5784 0.2500 0.1568 N
0.5000 0.5000 0.5000 N
0.0000 0.0000 0.5000 N
0.5000 0.0000 0.5000 N
0.0000 0.5000 0.5000 N
```

Output
Raw total energy   -65.40 eV per formula unit
Raw formation energy   -929 kJ/mol of formula units

No. 14
Below is CeTh2WN5 after structural relaxation, with properties calculated at the PBE-GGA level.

Structure (POSCAR):
```
CeTh2WN5
1.0
-5.7545 1.4870 0.1945
-1.7275 -6.5427 -1.0867
-0.0577 -1.1081 6.7632
Ce Th W N
2 4 2 10
direct
0.0000 0.5000 0.5000 Ce
0.0000 0.0000 0.0000 Ce
0.5000 0.6720 0.1720 Th
0.5000 0.1720 0.3280 Th
0.5000 0.8280 0.6720 Th
0.5000 0.3280 0.8280 Th
0.0000 0.0000 0.5000 W
0.0000 0.5000 0.0000 W
0.5000 0.5000 0.5000 N
0.5000 0.0000 0.0000 N
0.2351 0.1431 0.6431 N
0.2351 0.8569 0.3569 N
0.2351 0.3569 0.1431 N
0.2351 0.6431 0.8569 N
0.7649 0.1431 0.6431 N
0.7649 0.6431 0.8569 N
0.7649 0.8569 0.3569 N
0.7649 0.3569 0.1431 N
```

Output
Raw total energy   -85.38 eV per formula unit
Raw formation energy   -968 kJ/mol of formula units

No. 15
Below is CeTh2WN4 after structural relaxation, with properties calculated at the PBE-GGA level.

Structure (POSCAR):
```
CeTh2WN4
1.0
3.4515 0.0000 0.0000
-1.7257 6.0784 0.0000
0.0000 0.0000 12.1693
Ce Th W N
2 4 2 8
direct
0.1151 0.2301 0.7500 Ce
0.8849 0.7699 0.2500 Ce
0.3670 0.7339 0.5476 Th
0.6330 0.2661 0.0476 Th
0.6330 0.2661 0.4524 Th
0.3670 0.7339 0.9524 Th
0.8513 0.7026 0.7500 W
0.1487 0.2974 0.2500 W
0.2760 0.5519 0.1327 N
0.7240 0.4481 0.6327 N
0.7240 0.4481 0.8673 N
0.2760 0.5519 0.3673 N
0.0000 0.0000 0.5000 N
0.0000 0.0000 0.0000 N
0.4558 0.9116 0.7500 N
0.5442 0.0884 0.2500 N
```

Output
Raw total energy   -75.44 eV per formula unit
Raw formation energy   -811 kJ/mol of formula units

No. 16
Below is Ce2YThN4 after structural relaxation, with properties calculated at the PBE-GGA level.

Structure (POSCAR):
```
Ce2YThN4
1.0
3.5764 0.0000 0.0000
0.0000 6.1870 0.1127
0.0000 -2.1571 5.8061
Ce Y Th N
2 1 1 4
direct
0.5000 0.0000 0.5000 Ce
0.0000 0.5000 0.5000 Ce
0.0000 0.0000 0.0000 Y
0.5000 0.5000 0.0000 Th
0.5000 0.2476 0.2491 N
0.5000 0.7524 0.7509 N
0.0000 0.2462 0.7511 N
0.0000 0.7538 0.2489 N
```

Output
Raw total energy   -71.56 eV per formula unit
Raw formation energy   -1207 kJ/mol of formula units

No. 17
Below is CeY2ThN4 after structural relaxation, with properties calculated at the PBE-GGA level.

Structure (POSCAR):
```
CeY2ThN4
1.0
3.5568 0.0000 0.0000
0.0000 6.1554 0.1084
0.0000 -2.1531 5.7629
Ce Y Th N
1 2 1 4
direct
0.0000 0.0000 0.0000 Ce
0.5000 0.0000 0.5000 Y
0.0000 0.5000 0.5000 Y
0.5000 0.5000 0.0000 Th
0.5000 0.2507 0.2519 N
0.5000 0.7493 0.7481 N
0.0000 0.2491 0.7473 N
0.0000 0.7509 0.2527 N
```

Output
Raw total energy   -72.46 eV per formula unit
Raw formation energy   -1243 kJ/mol of formula units

No. 18
Below is Ce3YTh2N6 after structural relaxation, with properties calculated at the PBE-GGA level.

Structure (POSCAR):
```
Ce3YTh2N6
1.0
-6.1245 -0.8337 0.7138
3.3245 -4.0587 -3.3449
1.9259 -1.5411 5.7082
Ce Y Th N
3 1 2 6
direct
0.1652 0.8348 0.5000 Ce
0.8348 0.1652 0.5000 Ce
0.5000 0.5000 0.5000 Ce
0.0000 0.0000 0.0000 Y
0.3331 0.6669 0.0000 Th
0.6669 0.3331 0.0000 Th
0.9173 0.5871 0.7515 N
0.7532 0.7532 0.2499 N
0.0827 0.4129 0.2485 N
0.5871 0.9173 0.7515 N
0.2468 0.2468 0.7501 N
0.4129 0.0827 0.2485 N
```

Output
Raw total energy   -107.76 eV per formula unit
Raw formation energy   -1804 kJ/mol of formula units

No. 19
Below is Ce3Y2ThN6 after structural relaxation, with properties calculated at the PBE-GGA level.

Structure (POSCAR):
```
Ce3Y2ThN6
1.0
6.1606 -0.0007 0.0012
-3.0794 5.3358 0.0012
-1.0266 -1.7775 5.8206
Ce Y Th N
3 2 1 6
direct
0.1681 0.8319 0.5000 Ce
0.8319 0.1681 0.5000 Ce
0.5000 0.5000 0.5000 Ce
0.3336 0.6664 0.0000 Y
0.6664 0.3336 0.0000 Y
0.0000 0.0000 0.0000 Th
0.9172 0.5813 0.7515 N
0.7468 0.7468 0.2476 N
0.0828 0.4187 0.2485 N
0.5813 0.9172 0.7515 N
0.2532 0.2532 0.7524 N
0.4187 0.0828 0.2485 N
```

Output
Raw total energy   -106.99 eV per formula unit
Raw formation energy   -1822 kJ/mol of formula units

No. 20
Below is CeTh2Zr3N6 after structural relaxation, with properties calculated at the PBE-GGA level.

Structure (POSCAR):
```
CeTh2Zr3N6
1.0
-1.8238 0.0881 2.8583
-5.3251 -3.0561 -3.3036
5.0250 -5.7159 1.3702
Ce Th Zr N
1 2 3 6
direct
0.5000 0.0000 0.0000 Ce
0.8342 0.6689 0.6685 Th
0.1658 0.3311 0.3315 Th
0.5000 0.5000 0.0000 Zr
0.8351 0.1659 0.6702 Zr
0.1649 0.8341 0.3298 Zr
0.3271 0.9345 0.6541 N
0.6594 0.6011 0.3187 N
0.6729 0.0655 0.3459 N
0.9938 0.2663 0.9876 N
0.0062 0.7337 0.0124 N
0.3406 0.3989 0.6813 N
```

Output
Raw total energy   -115.73 eV per formula unit
Raw formation energy   -1868 kJ/mol of formula units